# Cu2TcAg, PBEsol geometry, DFT SCAN
# D(E_F) = 0.81 states/eV per atom
# calculated total energy = -23.796 eV per atom
# polymorph energy (0 for the lowest one) = 69.9 meV per atom
# V = 13.5 A^3/atom
# E_form = 0.411 eV/atom
data_Cu2TcAg
_symmetry_space_group_name_H-M 'C 1 2/m 1'
_symmetry_Int_Tables_number 12
_cell_length_a 8.615
_cell_length_b 2.557
_cell_length_c 4.948
_cell_angle_alpha 90.00
_cell_angle_beta 97.41
_cell_angle_gamma 90.00
loop_
_symmetry_equiv_pos_as_xyz
'x,y,z'
'-x,-y,-z'
'-x,y,-z'
'x,-y,z'
'x+1/2,y+1/2,z'
'-x+1/2,-y+1/2,-z'
'-x+1/2,y+1/2,-z'
'x+1/2,-y+1/2,z'
loop_
_atom_site_label
_atom_site_fract_x
_atom_site_fract_y
_atom_site_fract_z
Cu1 0.247 0.000 0.233
Tc1 0.000 0.500 0.000
Ag1 0.000 0.000 0.500

---

# CuTc3Ag, PBEsol geometry, DFT SCAN
# D(E_F) = 0.93 states/eV per atom
# calculated total energy = -27.543 eV per atom
# V = 20.1 A^3/atom
# E_form = 2.806 eV/atom
data_CuTc3Ag
_symmetry_space_group_name_H-M 'P m -3 m'
_symmetry_Int_Tables_number 221
_symmetry_space_group_name_Hall '-P 4 2 3'
_cell_length_a 4.649
_cell_length_b 4.649
_cell_length_c 4.649
_cell_angle_alpha 90.00
_cell_angle_beta 90.00
_cell_angle_gamma 90.00
loop_
_atom_site_label
_atom_site_fract_x
_atom_site_fract_y
_atom_site_fract_z
Cu1 0.000 0.000 0.000
Tc1 0.000 0.500 0.500
Ag1 0.500 0.500 0.500

---

# CuTcAg2, PBEsol geometry, DFT SCAN
# D(E_F) = 0.47 states/eV per atom
# calculated total energy = -27.780 eV per atom
# polymorph energy (0 for the lowest one) = 0.0 meV per atom
# V = 14.7 A^3/atom
# E_form = 0.468 eV/atom
data_CuTcAg2
_symmetry_space_group_name_H-M 'C 1 m 1'
_symmetry_Int_Tables_number 8
_cell_length_a 9.138
_cell_length_b 2.616
_cell_length_c 4.981
_cell_angle_alpha 90.00
_cell_angle_beta 99.04
_cell_angle_gamma 90.00
loop_
_symmetry_equiv_pos_as_xyz
'x,y,z'
'x,-y,z'
'x+1/2,y+1/2,z'
'x+1/2,-y+1/2,z'
loop_
_atom_site_label
_atom_site_fract_x
_atom_site_fract_y
_atom_site_fract_z
Cu1 0.000 0.000 0.000
Tc1 0.241 0.500 0.218
Ag1 0.253 0.000 0.735
Ag2 0.496 0.000 0.482

---

| no. | magnetization (μB per formula unit) |
| --- | --- |
| 1 | 0.00 |
| 2 | 8.37 |
| 3 | 1.00 |